No. 1
The following is a PBE calculation of a relaxed PmHoTmPb crystal, from Alexandria via LeMat-Bulk.

POSCAR file:
```
PmHoTmPb
1.0
0.000 3.866 3.866
3.866 0.000 3.866
3.866 3.866 0.000
Pm Ho Tm Pb
1 1 1 1
Cartesian
0.000 0.000 0.000 Pm
1.933 1.933 1.933 Ho
5.799 5.799 5.799 Tm
3.866 3.866 3.866 Pb
```

Properties
Uncorrected energy   -17.76 eV/f.u.
Mass density   9.86 g/cm³
Magnetic moment   0.52 μB per formula unit

---

No. 2
The following is a PBE calculation of a relaxed Zr4Zn3Au crystal, from Alexandria via LeMat-Bulk.

POSCAR file:
```
Zr4Zn3Au
1.0
3.337 0.000 0.000
0.000 4.244 0.000
0.000 0.000 11.003
Zr Zn Au
4 3 1
Cartesian
0.000 0.000 0.000 Zr
0.000 2.122 3.528 Zr
1.668 0.000 5.400 Zr
1.668 2.122 9.104 Zr
0.000 2.122 6.399 Zn
1.668 0.000 2.504 Zn
1.668 2.122 0.991 Zn
0.000 0.000 7.994 Au
```

Properties
Uncorrected energy   -43.61 eV/f.u.
Mass density   8.08 g/cm³
Magnetic moment   0.00 μB per formula unit

---

No. 3
The following is a PBE calculation of a relaxed Nd2In3Ag4 crystal, from Alexandria via LeMat-Bulk.

POSCAR file:
```
Nd2In3Ag4
1.0
3.095 -8.438 0.000
3.095 8.438 0.000
0.000 0.000 8.164
Nd In Ag
4 6 8
Cartesian
3.095 6.714 7.347 Nd
3.095 1.724 3.264 Nd
3.095 -1.724 4.900 Nd
3.095 -6.714 0.818 Nd
0.000 0.000 4.082 In
1.548 4.012 6.123 In
1.548 -4.012 2.041 In
3.095 0.000 0.000 In
4.643 4.012 6.123 In
4.643 -4.012 2.041 In
3.095 5.575 4.201 Ag
1.548 1.138 6.123 Ag
1.548 -1.138 2.041 Ag
3.095 2.863 0.119 Ag
3.095 -2.863 8.046 Ag
4.643 1.138 6.123 Ag
4.643 -1.138 2.041 Ag
3.095 -5.575 3.964 Ag
```

Properties
Uncorrected energy   -31.45 eV/f.u.
Mass density   8.29 g/cm³
Magnetic moment   0.00 μB per formula unit

---

No. 4
The following is a PBE calculation of a relaxed ZnAg2Os crystal, from Alexandria via LeMat-Bulk.

POSCAR file:
```
ZnAg2Os
1.0
1.435 -2.322 0.000
1.435 2.322 0.000
0.000 0.000 9.582
Zn Ag Os
1 2 1
Cartesian
0.000 0.000 0.000 Zn
1.435 0.000 2.321 Ag
1.435 0.000 7.260 Ag
0.000 0.000 4.791 Os
```

Properties
Uncorrected energy   -16.58 eV/f.u.
Mass density   12.26 g/cm³
Magnetic moment   0.00 μB per formula unit

---

No. 5
The following is a PBE calculation of a relaxed NaNdCd17 crystal, from Alexandria via LeMat-Bulk.

POSCAR file:
```
NaNdCd17
1.0
5.079 2.932 5.034
-5.079 2.932 5.034
0.000 -5.865 5.034
Na Nd Cd
1 1 17
Cartesian
0.000 0.000 0.000 Na
0.000 0.000 4.938 Nd
0.000 -2.599 2.627 Cd
-2.250 1.299 2.627 Cd
-2.670 -1.541 7.462 Cd
0.000 -2.847 7.116 Cd
-2.465 1.423 7.116 Cd
-1.537 -2.653 9.936 Cd
-3.066 -0.005 9.936 Cd
2.250 1.299 2.627 Cd
0.000 0.000 8.372 Cd
1.537 -2.653 9.936 Cd
-1.529 2.658 9.936 Cd
2.670 -1.541 7.462 Cd
0.000 3.083 7.462 Cd
0.000 0.000 11.389 Cd
2.465 1.423 7.116 Cd
3.066 -0.005 9.936 Cd
1.529 2.658 9.936 Cd
```

Properties
Uncorrected energy   -23.39 eV/f.u.
Mass density   7.67 g/cm³
Magnetic moment   0.00 μB per formula unit

---

No. 6
The following is a PBE calculation of a relaxed Rb3U3ZnTe8 crystal, from Alexandria via LeMat-Bulk.

POSCAR file:
```
Rb3U3ZnTe8
1.0
4.446 2.567 8.721
-4.446 2.567 8.721
0.000 -5.134 8.721
Rb U Zn Te
3 3 1 8
Cartesian
-2.223 -1.284 8.721 Rb
-2.223 1.284 17.441 Rb
0.000 2.567 8.721 Rb
-4.446 0.000 13.081 U
-2.223 1.284 4.360 U
2.223 1.284 4.360 U
0.000 0.000 13.081 Zn
0.000 0.000 6.123 Te
-2.178 -1.258 14.734 Te
0.000 -2.515 11.429 Te
-2.178 1.258 11.429 Te
2.178 -1.258 14.734 Te
0.000 2.515 14.734 Te
2.178 1.258 11.429 Te
0.000 0.000 20.039 Te
```

Properties
Uncorrected energy   -74.00 eV/f.u.
Formation energy (no corrections)   -722 meV/atom
Mass density   5.72 g/cm³
Magnetic moment   6.98 μB per formula unit